1.
## Li2ZnNi7 (GGA-PBE)

Data for a relaxed Li2ZnNi7 crystal.

## Properties
Formation enthalpy at 0 K in eV per atom: 0.094
Space group: Cmmm
E_tot in eV per cell: -44.628

```
10
Lattice="-1.0052 1.4770 1.6618 -4.0517 -2.4371 -0.2846 5.2838 -5.0817 7.7127" Properties=species:S:1:pos:R:3 pbc="T T T"
Ni 1.0939 -4.9195 6.8254
Li 1.4075 -2.9552 5.2693
Ni -2.8949 -2.3421 2.1220
Li -1.1806 -3.0866 3.8205
Zn 0.0000 0.0000 0.0000
Ni 0.0392 -5.2122 4.6564
Ni -2.5284 -0.4801 0.6886
Ni 3.1218 -3.6997 6.9679
Ni -0.8670 -1.1223 2.2644
Ni 1.1928 -2.3066 2.7717
```


2.
## Li2CdSbH (GGA-PBE)

Data for a relaxed Li2CdSbH crystal.

## Properties
Excess energy over the best structure of this formula in the dataset in kJ/mol of atoms: 14.7
Space group: P4/mmm
E_tot in eV per cell: -12.968

```
5
Lattice="4.4291 0.0000 0.0000 0.0000 4.4291 0.0000 0.0000 0.0000 4.2788" Properties=species:S:1:pos:R:3 pbc="T T T"
Sb 0.0000 0.0000 2.1394
Cd 2.2145 2.2145 2.1394
Li 2.2145 0.0000 0.0000
Li 0.0000 2.2145 0.0000
H 0.0000 0.0000 0.0000
```


3.
## NaMgGa2Rh (GGA-PBE)

Data for a relaxed NaMgGa2Rh crystal.

## Properties
Formation enthalpy at 0 K in eV per atom: -0.287
Space group: P4/mmm
E_tot in eV per cell: -17.756

```
5
Lattice="-2.9102 3.7110 0.9090 -1.1981 0.1987 -4.6467 -3.7839 -3.1731 0.8400" Properties=species:S:1:pos:R:3 pbc="T T T"
Mg -1.8920 -1.5865 0.4200
Ga -1.4551 1.8555 0.4545
Rh 0.0000 0.0000 0.0000
Na -3.9461 0.3683 -1.4489
Ga -0.5991 0.0993 -2.3234
```


4.
## Rb2Na2Pd (GGA-PBE)

Data for a relaxed Rb2Na2Pd crystal.

## Properties
Formation enthalpy at 0 K in eV per atom: 0.128
Excess energy over the best structure of this formula in the dataset in kJ/mol of atoms: 0.0
Space group: P4/mbm
E_tot in eV per cell: -18.248

```
10
Lattice="-3.7989 -4.4978 5.3835 7.0099 -2.1979 3.1103 -0.2165 4.9743 4.0031" Properties=species:S:1:pos:R:3 pbc="T T T"
Na 4.5870 -3.3553 4.4173
Pd 1.6055 -3.3479 4.2469
Rb -1.0237 -1.8135 7.2960
Pd 0.0000 0.0000 0.0000
Na 1.7429 -1.4739 1.9257
Rb 2.9099 -2.4049 8.2436
Rb 4.0183 0.0921 5.2008
Rb 0.0846 0.6834 4.2533
Na 1.4681 -5.2218 6.5680
Na -1.3760 -3.3404 4.0764
```